(1)
## Sr2Mg (GGA-PBEsol)

Data for an optimized crystal structure of Sr2Mg.

Cell: 7.0085 7.0085 7.0085 Å, 103.67 103.67 121.83°
Fractional positions:
Sr  0.1647  0.6647  0.8294
Sr  0.3353  0.1647  0.5000
Sr  0.6647  0.8353  0.5000
Sr  0.8353  0.3353  0.1706
Mg  0.2500  0.2500  0.0000
Mg  0.7500  0.7500  0.0000

Computed properties:
ΔH_f (0 K)	-0.02	eV/atom
calculated volume	256	Å³ per cell
symmetry	I4/mcm, No. 140
theoretical density	2.59	g/cm³
DOS at the Fermi energy	3.1	states/eV/f.u.



(2)
## KCd13 (GGA-PBEsol)

Data for an optimized crystal structure of KCd13.

Cell: 9.6703 9.6703 9.6703 Å, 60.00 60.00 60.00°
Fractional positions:
K  0.2500  0.2500  0.2500
K  0.7500  0.7500  0.7500
Cd  0.0000  0.0000  0.0000
Cd  0.0596  0.3012  0.6988
Cd  0.0596  0.6988  0.9404
Cd  0.0596  0.9404  0.3012
Cd  0.1988  0.4404  0.8012
Cd  0.1988  0.5596  0.4404
Cd  0.1988  0.8012  0.5596
Cd  0.3012  0.0596  0.9404
Cd  0.3012  0.6988  0.0596
Cd  0.3012  0.9404  0.6988
Cd  0.4404  0.1988  0.5596
Cd  0.4404  0.5596  0.8012
Cd  0.4404  0.8012  0.1988
Cd  0.5000  0.5000  0.5000
Cd  0.5596  0.1988  0.8012
Cd  0.5596  0.4404  0.1988
Cd  0.5596  0.8012  0.4404
Cd  0.6988  0.0596  0.3012
Cd  0.6988  0.3012  0.9404
Cd  0.6988  0.9404  0.0596
Cd  0.8012  0.1988  0.4404
Cd  0.8012  0.4404  0.5596
Cd  0.8012  0.5596  0.1988
Cd  0.9404  0.0596  0.6988
Cd  0.9404  0.3012  0.0596
Cd  0.9404  0.6988  0.3012

Computed properties:
ΔH_f (0 K)	-0.07	eV/atom
calculated volume	639	Å³ per cell
symmetry	Fm-3c, No. 226
theoretical density	7.79	g/cm³
DOS at the Fermi energy	2.7	states/eV/f.u.



(3)
## K2SnOsSe (GGA-PBEsol)

Data for an optimized crystal structure of K2SnOsSe.

Cell: 5.7897 5.7897 5.0242 Å, 90.00 90.00 90.00°
Fractional positions:
K  0.0000  0.5000  0.0000
K  0.5000  0.0000  0.0000
Sn  0.0000  0.0000  0.5000
Os  0.0000  0.0000  0.0000
Se  0.5000  0.5000  0.5000

Computed properties:
uncorrected formation energy	778	meV per atom
calculated volume	168	Å³ per cell
symmetry	P4/mmm, No. 123
theoretical density	4.60	g/cm³
DOS at the Fermi energy	6.0	states/eV/f.u.